First-principles (PBE) data for crystalline Na5H4F at its relaxed geometry, as listed in the Alexandria database.

Calculated values
volume = 13.8 Å³ per atom
total DFT energy (no corrections) = -2.8968 eV per atom
ρ = 1.663 g/cm³
M_tot = 0.0 μB per cell
space-group type = R-3m, No. 166

a b c (Å): 13.976 13.976 13.976
angles (deg): 13.93 13.93 13.93
Fractional coordinates of all 10 atoms:
Na  0.000  0.000  0.000
Na  0.199  0.199  0.199
Na  0.401  0.401  0.401
Na  0.599  0.599  0.599
Na  0.801  0.801  0.801
H  0.101  0.101  0.101
H  0.300  0.300  0.300
H  0.700  0.700  0.700
H  0.899  0.899  0.899
F  0.500  0.500  0.500